DFT (PBE) results for CaAl2Tl2 after structural relaxation.

a = 8.1132 Å, b = 8.1132 Å, c = 3.8402 Å
α = 90.00°, β = 90.00°, γ = 90.00°
Space group P4/mbm (No. 127)
Inequivalent atoms, fractional coordinates:
Ca (0.0000, 0.0000, 0.0000) [2 per cell]
Al (0.1176, 0.3824, 0.0000) [4 per cell]
Tl (0.1776, 0.6776, 0.5000) [4 per cell]

Calculated density = 6.61 g/cm3
Volume = 25.278 A^3/atom
Distance to the lowest polymorph of the same formula = 44 meV per atom
Energy of formation from the pure elements = 0.02 eV per atom